w) # LaDy6Tm4 (GGA-PBE, optimized geometry)
# density of states at the Fermi level: 16.09 states/eV/f.u.
data_LaDy6Tm4
_cell_length_a 7.6086
_cell_length_b 7.6086
_cell_length_c 8.4614
_cell_angle_alpha 116.72
_cell_angle_beta 116.72
_cell_angle_gamma 90.00
_space_group_name_H-M_alt 'P 1'
_space_group_IT_number 1
_space_group_name_Hall 'P 1'
loop_
_atom_site_label
_atom_site_type_symbol
_atom_site_fract_x
_atom_site_fract_y
_atom_site_fract_z
_atom_site_occupancy
La1 La 0.5000 0.5000 0.0000 1
Dy1 Dy 0.9343 0.4419 0.3763 1
Dy2 Dy 0.4419 0.9343 0.3763 1
Dy3 Dy 0.5581 0.5581 0.6237 1
Dy4 Dy 0.0000 0.5000 0.0000 1
Dy5 Dy 0.0657 0.0657 0.6237 1
Dy6 Dy 0.5000 0.0000 0.0000 1
Tm1 Tm 0.0822 0.7624 0.8446 1
Tm2 Tm 0.9178 0.9178 0.1554 1
Tm3 Tm 0.7624 0.0822 0.8446 1
Tm4 Tm 0.2376 0.2376 0.1554 1

***

x) # LaDy6Tm4 (GGA-PBE, optimized geometry)
# density of states at the Fermi level: 19.82 states/eV/f.u.
data_LaDy6Tm4
_cell_length_a 5.6770
_cell_length_b 5.5959
_cell_length_c 25.6294
_cell_angle_alpha 90.00
_cell_angle_beta 90.00
_cell_angle_gamma 120.48
_space_group_name_H-M_alt 'P 1'
_space_group_IT_number 1
_space_group_name_Hall 'P 1'
loop_
_atom_site_label
_atom_site_type_symbol
_atom_site_fract_x
_atom_site_fract_y
_atom_site_fract_z
_atom_site_occupancy
La1 La 0.8155 0.6310 0.2500 1
La2 La 0.1845 0.3690 0.7500 1
Dy1 Dy 0.5000 0.0000 0.0000 1
Dy2 Dy 0.5000 0.0000 0.5000 1
Dy3 Dy 0.1472 0.2943 0.3205 1
Dy4 Dy 0.8528 0.7057 0.6795 1
Dy5 Dy 0.8528 0.7057 0.8205 1
Dy6 Dy 0.1472 0.2943 0.1795 1
Dy7 Dy 0.8161 0.6322 0.4007 1
Dy8 Dy 0.1839 0.3678 0.5993 1
Dy9 Dy 0.1839 0.3678 0.9007 1
Dy10 Dy 0.8161 0.6322 0.0993 1
Dy11 Dy 0.4809 0.9618 0.2500 1
Dy12 Dy 0.5191 0.0382 0.7500 1
Tm1 Tm 0.8403 0.6806 0.5418 1
Tm2 Tm 0.4786 0.9573 0.1218 1
Tm3 Tm 0.1597 0.3194 0.4582 1
Tm4 Tm 0.5214 0.0427 0.8782 1
Tm5 Tm 0.8403 0.6806 0.9582 1
Tm6 Tm 0.1597 0.3194 0.0418 1
Tm7 Tm 0.5214 0.0427 0.6218 1
Tm8 Tm 0.4786 0.9573 0.3782 1

***

Verdict on stability: x) comes out on top.

***

w) # LaDy2Tm2 (GGA-PBE, optimized geometry)
# density of states at the Fermi level: 7.62 states/eV/f.u.
data_LaDy2Tm2
_cell_length_a 3.5592
_cell_length_b 3.5592
_cell_length_c 12.8709
_cell_angle_alpha 97.95
_cell_angle_beta 97.95
_cell_angle_gamma 90.00
_space_group_name_H-M_alt 'P 1'
_space_group_IT_number 1
_space_group_name_Hall 'P 1'
loop_
_atom_site_label
_atom_site_type_symbol
_atom_site_fract_x
_atom_site_fract_y
_atom_site_fract_z
_atom_site_occupancy
La1 La 0.0000 0.0000 0.0000 1
Dy1 Dy 0.6045 0.6045 0.2090 1
Dy2 Dy 0.3955 0.3955 0.7910 1
Tm1 Tm 0.7982 0.7982 0.5964 1
Tm2 Tm 0.2018 0.2018 0.4036 1

***

x) # LaDy2Tm2 (GGA-PBE, optimized geometry)
# density of states at the Fermi level: 5.96 states/eV/f.u.
data_LaDy2Tm2
_cell_length_a 9.4104
_cell_length_b 9.4104
_cell_length_c 3.7113
_cell_angle_alpha 90.00
_cell_angle_beta 90.00
_cell_angle_gamma 90.00
_space_group_name_H-M_alt 'P 1'
_space_group_IT_number 1
_space_group_name_Hall 'P 1'
loop_
_atom_site_label
_atom_site_type_symbol
_atom_site_fract_x
_atom_site_fract_y
_atom_site_fract_z
_atom_site_occupancy
La1 La 0.0000 0.0000 0.0000 1
La2 La 0.5000 0.5000 0.0000 1
Dy1 Dy 0.1246 0.6246 0.0000 1
Dy2 Dy 0.6246 0.8754 0.0000 1
Dy3 Dy 0.8754 0.3754 0.0000 1
Dy4 Dy 0.3754 0.1246 0.0000 1
Tm1 Tm 0.3291 0.8291 0.5000 1
Tm2 Tm 0.8291 0.6709 0.5000 1
Tm3 Tm 0.6709 0.1709 0.5000 1
Tm4 Tm 0.1709 0.3291 0.5000 1

***

Verdict on stability: w) comes out on top.

***

w) # LaDy2Tm9 (GGA-PBE, optimized geometry)
# density of states at the Fermi level: 16.99 states/eV/f.u.
data_LaDy2Tm9
_cell_length_a 4.9768
_cell_length_b 4.9768
_cell_length_c 14.9517
_cell_angle_alpha 90.00
_cell_angle_beta 90.00
_cell_angle_gamma 90.00
_space_group_name_H-M_alt 'P 1'
_space_group_IT_number 1
_space_group_name_Hall 'P 1'
loop_
_atom_site_label
_atom_site_type_symbol
_atom_site_fract_x
_atom_site_fract_y
_atom_site_fract_z
_atom_site_occupancy
La1 La 0.0000 0.0000 0.0000 1
Dy1 Dy 0.0000 0.0000 0.3344 1
Dy2 Dy 0.0000 0.0000 0.6656 1
Tm1 Tm 0.5000 0.5000 0.0000 1
Tm2 Tm 0.5000 0.5000 0.3358 1
Tm3 Tm 0.5000 0.5000 0.6642 1
Tm4 Tm 0.5000 0.0000 0.1709 1
Tm5 Tm 0.5000 0.0000 0.5000 1
Tm6 Tm 0.5000 0.0000 0.8291 1
Tm7 Tm 0.0000 0.5000 0.1709 1
Tm8 Tm 0.0000 0.5000 0.5000 1
Tm9 Tm 0.0000 0.5000 0.8291 1

***

x) # LaDy2Tm9 (GGA-PBE, optimized geometry)
# density of states at the Fermi level: 17.11 states/eV/f.u.
data_LaDy2Tm9
_cell_length_a 3.4990
_cell_length_b 11.1235
_cell_length_c 11.1235
_cell_angle_alpha 120.00
_cell_angle_beta 90.00
_cell_angle_gamma 90.00
_space_group_name_H-M_alt 'P 1'
_space_group_IT_number 1
_space_group_name_Hall 'P 1'
loop_
_atom_site_label
_atom_site_type_symbol
_atom_site_fract_x
_atom_site_fract_y
_atom_site_fract_z
_atom_site_occupancy
La1 La 0.0000 0.0000 0.0000 1
Dy1 Dy 0.0000 0.3333 0.6667 1
Dy2 Dy 0.0000 0.6667 0.3333 1
Tm1 Tm 0.0000 0.0000 0.5000 1
Tm2 Tm 0.0000 0.5000 0.5000 1
Tm3 Tm 0.0000 0.5000 0.0000 1
Tm4 Tm 0.5000 0.3590 0.1795 1
Tm5 Tm 0.5000 0.1795 0.8205 1
Tm6 Tm 0.5000 0.1795 0.3590 1
Tm7 Tm 0.5000 0.8205 0.6410 1
Tm8 Tm 0.5000 0.8205 0.1795 1
Tm9 Tm 0.5000 0.6410 0.8205 1

***

Verdict on stability: w) comes out on top.